(1)
5
Lattice="-3.287 -2.485 0.028 2.443 -3.222 0.791 -0.455 0.647 4.044" Properties=species:S:1:pos:R:3 comment="IrClF3 PBE-GGA optimized geometry" dos_at_fermi_per_ev_cell=9.5 sg="Pm-3m, No. 221" raw_formation_energy_mev_per_atom=-481 pbc="T T T"
Cl -0.649 -2.530 2.431
Ir 0.000 0.000 0.000
F 1.222 -1.611 0.395
F -0.228 0.323 2.022
F -1.643 -1.243 0.014

---

(2)
6
Lattice="2.778 -0.015 -0.015 1.162 7.218 0.027 1.258 0.105 5.290" Properties=species:S:1:pos:R:3 comment="IrClF PBE-GGA optimized geometry" dos_at_fermi_per_ev_cell=1.3 sg="P-1, No. 2" raw_formation_energy_mev_per_atom=-296 pbc="T T T"
Cl 3.803 5.114 3.993
Cl 1.396 2.194 1.308
F 1.272 1.672 4.064
F 3.926 5.636 1.238
Ir 2.662 0.103 3.930
Ir 2.536 7.205 1.372

---

What did the first record say?
5
Lattice="-3.287 -2.485 0.028 2.443 -3.222 0.791 -0.455 0.647 4.044" Properties=species:S:1:pos:R:3 comment="IrClF3 PBE-GGA optimized geometry" dos_at_fermi_per_ev_cell=9.5 sg="Pm-3m, No. 221" raw_formation_energy_mev_per_atom=-481 pbc="T T T"
Cl -0.649 -2.530 2.431
Ir 0.000 0.000 0.000
F 1.222 -1.611 0.395
F -0.228 0.323 2.022
F -1.643 -1.243 0.014

---

Copy entry 2 word for word.
6
Lattice="2.778 -0.015 -0.015 1.162 7.218 0.027 1.258 0.105 5.290" Properties=species:S:1:pos:R:3 comment="IrClF PBE-GGA optimized geometry" dos_at_fermi_per_ev_cell=1.3 sg="P-1, No. 2" raw_formation_energy_mev_per_atom=-296 pbc="T T T"
Cl 3.803 5.114 3.993
Cl 1.396 2.194 1.308
F 1.272 1.672 4.064
F 3.926 5.636 1.238
Ir 2.662 0.103 3.930
Ir 2.536 7.205 1.372